No. 1
A relaxed structure of BaIn2Bi6, computed with GGA-PBE.

The structure in POSCAR format:
```
BaIn2Bi6
1.0
-2.243 4.947 7.459
2.243 -4.947 7.459
2.243 4.947 -7.459
Ba In Bi
1 2 6
Direct
0.000 0.000 0.000
0.386 0.886 0.500
0.614 0.114 0.500
0.027 0.687 0.340
0.312 0.500 0.812
0.348 0.687 0.660
0.652 0.313 0.340
0.688 0.500 0.188
0.973 0.313 0.660
```

Calculated values
DOS(E_F) ... 3.9 states/eV per cell
Space-group type ... Immm (71)
Formation energy from the elements ... -0.696 eV per formula unit

No. 2
A relaxed structure of Ba5In2Bi6, computed with GGA-PBE.

The structure in POSCAR format:
```
Ba5In2Bi6
1.0
13.748 0.000 0.000
0.000 15.864 0.000
0.000 0.000 4.973
Ba In Bi
10 4 12
Direct
0.000 0.000 0.000
0.089 0.250 0.000
0.169 0.523 0.000
0.331 0.023 0.000
0.411 0.750 0.000
0.500 0.500 0.000
0.589 0.250 0.000
0.669 0.977 0.000
0.831 0.477 0.000
0.911 0.750 0.000
0.172 0.712 0.500
0.328 0.212 0.500
0.672 0.788 0.500
0.828 0.288 0.500
0.018 0.404 0.500
0.155 0.095 0.500
0.163 0.821 0.000
0.337 0.321 0.000
0.345 0.595 0.500
0.482 0.904 0.500
0.518 0.096 0.500
0.655 0.405 0.500
0.663 0.679 0.000
0.837 0.179 0.000
0.845 0.905 0.500
0.982 0.596 0.500
```

Calculated values
DOS(E_F) ... 2.9 states/eV per cell
Space-group type ... Pbam (55)
Formation energy from the elements ... -9.307 eV per formula unit

No. 3
A relaxed structure of Ba2In3Bi4, computed with GGA-PBE.

The structure in POSCAR format:
```
Ba2In3Bi4
1.0
3.654 -9.033 0.000
3.654 9.033 0.000
0.000 0.000 9.468
Ba In Bi
4 6 8
Direct
0.116 0.884 0.923
0.384 0.616 0.423
0.616 0.384 0.577
0.884 0.116 0.077
0.000 0.000 0.500
0.029 0.471 0.750
0.471 0.029 0.250
0.500 0.500 0.000
0.529 0.971 0.750
0.971 0.529 0.250
0.183 0.817 0.546
0.200 0.300 0.750
0.300 0.200 0.250
0.317 0.683 0.046
0.683 0.317 0.954
0.700 0.800 0.750
0.800 0.700 0.250
0.817 0.183 0.454
```

Calculated values
DOS(E_F) ... 9.0 states/eV per cell
Space-group type ... Cmce (64)
Formation energy from the elements ... -3.880 eV per formula unit

No. 4
A relaxed structure of Ba2In2Bi, computed with GGA-PBE.

The structure in POSCAR format:
```
Ba2In2Bi
1.0
8.437 0.000 0.000
0.000 8.437 0.000
0.000 0.000 5.369
Ba In Bi
4 4 2
Direct
0.176 0.324 0.000
0.324 0.824 0.000
0.676 0.176 0.000
0.824 0.676 0.000
0.125 0.625 0.500
0.375 0.125 0.500
0.625 0.875 0.500
0.875 0.375 0.500
0.000 0.000 0.500
0.500 0.500 0.500
```

Calculated values
Relative energy among the computed polymorphs ... 0 meV per atom
DOS(E_F) ... 15.4 states/eV per cell
Space-group type ... P4/mbm (127)
Formation energy from the elements ... -2.379 eV per formula unit

No. 5
A relaxed structure of Ba2In2Bi3, computed with GGA-PBE.

The structure in POSCAR format:
```
Ba2In2Bi3
1.0
8.978 -2.523 0.000
8.978 2.523 0.000
-8.969 0.000 12.070
Ba In Bi
4 4 6
Direct
0.099 0.099 0.336
0.148 0.148 0.050
0.852 0.852 0.950
0.901 0.901 0.664
0.242 0.242 0.688
0.432 0.432 0.334
0.568 0.568 0.666
0.758 0.758 0.312
0.158 0.158 0.815
0.349 0.349 0.461
0.451 0.451 0.868
0.549 0.549 0.132
0.651 0.651 0.539
0.842 0.842 0.185
```

Calculated values
DOS(E_F) ... 2.8 states/eV per cell
Space-group type ... C2/m (12)
Formation energy from the elements ... -3.767 eV per formula unit

No. 6
A relaxed structure of Ba2In3Bi3, computed with GGA-PBE.

The structure in POSCAR format:
```
Ba2In3Bi3
1.0
8.955 0.000 0.000
-4.478 7.755 0.000
0.000 0.000 4.218
Ba In Bi
2 3 3
Direct
0.333 0.667 0.000
0.667 0.333 0.000
0.000 0.801 0.000
0.199 0.199 0.000
0.801 0.000 0.000
0.000 0.317 0.500
0.317 0.000 0.500
0.683 0.683 0.500
```

Calculated values
DOS(E_F) ... 6.1 states/eV per cell
Space-group type ... P-62m (189)
Formation energy from the elements ... -2.608 eV per formula unit

No. 7
A relaxed structure of Ba2InBi, computed with GGA-PBE.

The structure in POSCAR format:
```
Ba2InBi
1.0
0.000 4.311 4.311
4.311 0.000 4.311
4.311 4.311 0.000
Ba In Bi
2 1 1
Direct
0.250 0.250 0.250
0.750 0.750 0.750
0.000 0.000 0.000
0.500 0.500 0.500
```

Calculated values
Relative energy among the computed polymorphs ... 50 meV per atom
DOS(E_F) ... 4.5 states/eV per cell
Space-group type ... Fm-3m (225)
Formation energy from the elements ... -2.271 eV per formula unit

No. 8
A relaxed structure of BaInBi, computed with GGA-PBE.

The structure in POSCAR format:
```
BaInBi
1.0
5.238 0.000 0.000
0.000 4.813 0.000
-0.039 0.000 9.213
Ba In Bi
2 2 2
Direct
0.249 0.000 0.268
0.751 0.000 0.732
0.249 0.500 0.932
0.751 0.500 0.068
0.250 0.500 0.606
0.750 0.500 0.394
```

Calculated values
Relative energy among the computed polymorphs ... 70 meV per atom
DOS(E_F) ... 3.3 states/eV per cell
Space-group type ... P2/m (10)
Formation energy from the elements ... -1.551 eV per formula unit